Density functional theory data (GGA-PBE) for an optimized crystal structure of Ac6Cd2Pt.

abc: 7.2144 8.4759 11.4042
angles: 90.00 92.56 90.00
Positions (direct):
Cd  0.9266  0.3911  0.7651
Cd  0.4266  0.1089  0.2651
Cd  0.5734  0.8911  0.7349
Cd  0.0734  0.6089  0.2349
Ac  0.6657  0.1980  0.5495
Ac  0.8343  0.6980  0.9505
Ac  0.8734  0.9738  0.2464
Ac  0.1581  0.3308  0.4491
Ac  0.3419  0.8308  0.0509
Ac  0.8419  0.6692  0.5509
Ac  0.1266  0.0262  0.7536
Ac  0.6581  0.1692  0.9491
Ac  0.1657  0.3020  0.0495
Ac  0.3343  0.8020  0.4505
Ac  0.3734  0.5262  0.7464
Ac  0.6266  0.4738  0.2536
Pt  0.5000  0.5000  0.0000
Pt  0.0000  0.0000  0.5000

Output
Total magnetic moment (Bohr magnetons per cell): 0.00
ΔH_f (0 K) (eV/atom): -0.325
Space-group type: P2_1/c (14)
ρ (g cm⁻³): 8.49

***

Density functional theory data (GGA-PBE) for an optimized crystal structure of Ti5SbPd8.

abc: 6.7466 6.7466 6.7466
angles: 109.65 109.11 109.65
Positions (direct):
Ti  0.0445  0.3520  0.1270
Ti  0.5000  0.0000  0.5000
Ti  0.8730  0.9174  0.2249
Ti  0.7751  0.6480  0.6925
Ti  0.3075  0.0826  0.9555
Pd  0.9217  0.0576  0.6640
Pd  0.3360  0.2577  0.3937
Pd  0.1360  0.7423  0.0783
Pd  0.6063  0.9424  0.8640
Pd  0.0706  0.7366  0.4742
Pd  0.6660  0.4035  0.9294
Pd  0.5258  0.5965  0.2624
Pd  0.7376  0.2634  0.3340
Sb  0.2500  0.5000  0.7500

Output
E_form (uncorrected) (meV per atom): -401
Total magnetic moment (Bohr magnetons per cell): 0.00
Space-group type: I-4 (82)
ρ (g cm⁻³): 8.52

***

Density functional theory data (GGA-PBE) for an optimized crystal structure of TbGaPd3.

abc: 6.2548 6.2548 6.2548
angles: 65.58 65.58 65.58
Positions (direct):
Pd  0.8844  0.4096  0.5405
Pd  0.3844  0.0405  0.9096
Pd  0.9096  0.3844  0.0405
Pd  0.5405  0.8844  0.4096
Pd  0.4096  0.5405  0.8844
Pd  0.0405  0.9096  0.3844
Tb  0.9445  0.9445  0.9445
Tb  0.4445  0.4445  0.4445
Ga  0.2393  0.2393  0.2393
Ga  0.7393  0.7393  0.7393

Output
Total magnetic moment (Bohr magnetons per cell): 0.00
ΔH_f (0 K) (eV/atom): -0.604
Space-group type: R3c (161)
ρ (g cm⁻³): 9.38

***

Density functional theory data (GGA-PBE) for an optimized crystal structure of MgAg2Hg2.

abc: 3.9107 3.9107 7.7869
angles: 75.46 75.46 90.00
Positions (direct):
Hg  0.5990  0.5990  0.8020
Hg  0.4010  0.4010  0.1980
Ag  0.7500  0.2500  0.5000
Ag  0.2500  0.7500  0.5000
Mg  0.0000  0.0000  0.0000

Output
Energy relative to the lowest polymorph listed for this composition (meV/atom): 103
Total magnetic moment (Bohr magnetons per cell): 0.00
ΔH_f (0 K) (eV/atom): 0.040
Space-group type: I4/mmm (139)
ρ (g cm⁻³): 9.56

***

Density functional theory data (GGA-PBE) for an optimized crystal structure of Ni3Pd.

abc: 4.1081 4.1081 4.1081
angles: 60.00 60.00 60.00
Positions (direct):
Ni  0.2500  0.2500  0.2500
Ni  0.0000  0.0000  0.0000
Ni  0.7500  0.7500  0.7500
Pd  0.5000  0.5000  0.5000

Output
Total magnetic moment (Bohr magnetons per cell): 2.15
ΔH_f (0 K) (eV/atom): 0.130
Space-group type: Fm-3m (225)
ρ (g cm⁻³): 9.57

***

Density functional theory data (GGA-PBE) for an optimized crystal structure of Th2ZrGe2.

abc: 4.3551 7.5224 7.5224
angles: 90.00 90.00 90.00
Positions (direct):
Ge  0.0000  0.3736  0.8736
Ge  0.0000  0.8736  0.6264
Ge  0.0000  0.6264  0.1264
Ge  0.0000  0.1264  0.3736
Zr  0.0000  0.5000  0.5000
Zr  0.0000  0.0000  0.0000
Th  0.5000  0.8213  0.3213
Th  0.5000  0.3213  0.1787
Th  0.5000  0.1787  0.6787
Th  0.5000  0.6787  0.8213

Output
Total magnetic moment (Bohr magnetons per cell): 0.00
ΔH_f (0 K) (eV/atom): -0.701
Space-group type: P4/mbm (127)
ρ (g cm⁻³): 9.44

***

Density functional theory data (GGA-PBE) for an optimized crystal structure of ZnTcNiIr.

abc: 4.2686 4.2686 4.2686
angles: 60.00 60.00 60.00
Positions (direct):
Zn  0.0000  0.0000  0.0000
Ir  0.2500  0.2500  0.2500
Ni  0.7500  0.7500  0.7500
Tc  0.5000  0.5000  0.5000

Output
Total magnetic moment (Bohr magnetons per cell): 1.07
ΔH_f (0 K) (eV/atom): 0.094
Space-group type: F-43m (216)
ρ (g cm⁻³): 12.51

***

Density functional theory data (GGA-PBE) for an optimized crystal structure of Sc2TlSbTe.

abc: 5.4335 5.8571 5.4335
angles: 90.00 90.00 90.00
Positions (direct):
Sc  0.5000  0.0000  0.0000
Sc  0.0000  0.0000  0.5000
Te  0.5000  0.5000  0.5000
Tl  0.0000  0.5000  0.0000
Sb  0.0000  0.0000  0.0000

Output
E_form (uncorrected) (meV per atom): 95
Total magnetic moment (Bohr magnetons per cell): 1.63
Space-group type: P4/mmm (123)
ρ (g cm⁻³): 5.22